DFT (PBE) results for crystalline Pr5CdOs2 at its relaxed geometry.

Results
Its space-group type is I4/mcm. The formation energy comes out at -0.13 eV/atom. The electronic total energy is -96.65 eV/cell.

Unit cell a=9.068 b=9.068 c=9.068 alpha=127.03 beta=127.03 gamma=78.20
Atoms (fractional coordinates):
Pr (0.000, 0.000, 0.000)
Pr (0.029, 0.529, 0.819)
Pr (0.210, 0.029, 0.500)
Pr (0.290, 0.790, 0.819)
Pr (0.471, 0.290, 0.500)
Pr (0.500, 0.500, 0.000)
Pr (0.529, 0.710, 0.500)
Pr (0.710, 0.210, 0.181)
Pr (0.790, 0.971, 0.500)
Pr (0.971, 0.471, 0.181)
Cd (0.250, 0.250, 0.000)
Cd (0.750, 0.750, 0.000)
Os (0.140, 0.360, 0.500)
Os (0.360, 0.860, 0.221)
Os (0.640, 0.140, 0.779)
Os (0.860, 0.640, 0.500)